(1)
{"formula": "KLiBiTe3", "functional": "GGA-PBE", "state": "optimized geometry", "lattice_angstrom": [[9.9565, 0.0000, 0.0000], [0.0000, 4.6967, 0.0000], [-4.4175, 0.0000, 9.2320]], "species": ["K", "K", "Li", "Li", "Bi", "Bi", "Te", "Te", "Te", "Te", "Te", "Te"], "frac_coords": [[0.2292, 0.2500, 0.2341], [0.7708, 0.7500, 0.7659], [0.1086, 0.2500, 0.5637], [0.8914, 0.7500, 0.4363], [0.3163, 0.7500, 0.8359], [0.6837, 0.2500, 0.1641], [0.0932, 0.2500, 0.8318], [0.1913, 0.7500, 0.4860], [0.4765, 0.7500, 0.1747], [0.5235, 0.2500, 0.8253], [0.8087, 0.2500, 0.5140], [0.9068, 0.7500, 0.1682]], "energy_ev_per_cell": -39.69, "mass_density_g_cm3": 4.91, "spacegroup": "P2_1/m"}

***

(2)
{"formula": "KLiTl2Bi", "functional": "GGA-PBE", "state": "optimized geometry", "lattice_angstrom": [[5.4696, 0.0000, 0.0000], [0.0000, 5.4696, 0.0000], [0.0000, 0.0000, 5.3449]], "species": ["K", "Li", "Tl", "Tl", "Bi"], "frac_coords": [[0.0000, 0.0000, 0.0000], [0.5000, 0.5000, 0.5000], [0.0000, 0.5000, 0.5000], [0.5000, 0.0000, 0.5000], [0.5000, 0.5000, 0.0000]], "mass_density_g_cm3": 6.89, "spacegroup": "P4/mmm", "e_form_mev_per_atom": -143.4}

***

(3)
{"formula": "KLiTlBi2", "functional": "GGA-PBE", "state": "optimized geometry", "lattice_angstrom": [[5.3756, 0.0000, 0.0000], [0.0000, 5.3756, 0.0000], [0.0000, 0.0000, 5.5476]], "species": ["K", "Li", "Tl", "Bi", "Bi"], "frac_coords": [[0.0000, 0.0000, 0.0000], [0.5000, 0.5000, 0.5000], [0.5000, 0.5000, 0.0000], [0.0000, 0.5000, 0.5000], [0.5000, 0.0000, 0.5000]], "mass_density_g_cm3": 6.92, "spacegroup": "P4/mmm", "e_form_mev_per_atom": -144.9}

***

(4)
{"formula": "K2LiZnBi2", "functional": "GGA-PBE", "state": "optimized geometry", "lattice_angstrom": [[-3.4402, 8.1347, 3.4742], [3.4402, -8.1347, 3.4742], [3.4402, 8.1347, -3.4742]], "species": ["K", "K", "K", "K", "Li", "Li", "Zn", "Zn", "Bi", "Bi", "Bi", "Bi"], "frac_coords": [[0.1666, 0.2469, 0.4135], [0.3334, 0.7469, 0.0803], [0.6666, 0.2531, 0.9197], [0.8334, 0.7531, 0.5865], [0.2500, 0.2500, 0.0000], [0.7500, 0.7500, 0.0000], [0.2500, 0.7500, 0.5000], [0.7500, 0.2500, 0.5000], [0.0968, 0.7392, 0.8361], [0.4032, 0.2392, 0.6424], [0.5968, 0.7608, 0.3576], [0.9032, 0.2608, 0.1639]], "mass_density_g_cm3": 4.85, "spacegroup": "Ibam", "e_form_mev_per_atom": -339.2}

***

(5)
{"formula": "KLuBi", "functional": "GGA-PBE", "state": "optimized geometry", "lattice_angstrom": [[-2.1182, 2.1182, 6.9088], [2.1182, -2.1182, 6.9088], [2.1182, 2.1182, -6.9088]], "species": ["K", "Lu", "Bi"], "frac_coords": [[0.0000, 0.0000, 0.0000], [0.2714, 0.2714, 0.0000], [0.7177, 0.7177, 0.0000]], "mass_density_g_cm3": 5.67, "spacegroup": "I4mm", "e_form_mev_per_atom": -215.5}

***

(6)
{"formula": "K2MgBi", "functional": "GGA-PBE", "state": "optimized geometry", "lattice_angstrom": [[0.0000, 4.2211, 4.2211], [4.2211, 0.0000, 4.2211], [4.2211, 4.2211, 0.0000]], "species": ["K", "K", "Mg", "Bi"], "frac_coords": [[0.2500, 0.2500, 0.2500], [0.7500, 0.7500, 0.7500], [0.0000, 0.0000, 0.0000], [0.5000, 0.5000, 0.5000]], "de_polymorph_ev_per_atom": 0.0000, "mass_density_g_cm3": 3.44, "spacegroup": "Fm-3m", "e_form_mev_per_atom": -52.5}

***

(7)
{"formula": "K2MgBi2", "functional": "GGA-PBE", "state": "optimized geometry", "lattice_angstrom": [[7.9282, 0.0000, 0.0000], [0.0000, 7.9282, 0.0000], [0.0000, 0.0000, 5.8688]], "species": ["K", "K", "K", "K", "Mg", "Mg", "Bi", "Bi", "Bi", "Bi"], "frac_coords": [[0.1639, 0.3361, 0.0000], [0.3361, 0.8361, 0.0000], [0.6639, 0.1639, 0.0000], [0.8361, 0.6639, 0.0000], [0.0000, 0.0000, 0.5000], [0.5000, 0.5000, 0.5000], [0.1412, 0.6412, 0.5000], [0.3588, 0.1412, 0.5000], [0.6412, 0.8588, 0.5000], [0.8588, 0.3588, 0.5000]], "de_polymorph_ev_per_atom": 0.0000, "mass_density_g_cm3": 4.69, "spacegroup": "P4/mbm", "e_form_mev_per_atom": -312.1}

***

(8)
{"formula": "K3MgBi", "functional": "GGA-PBE", "state": "optimized geometry", "lattice_angstrom": [[6.8846, 0.0000, 0.0000], [0.0000, 6.8846, 0.0000], [0.0000, 0.0000, 6.8846]], "species": ["K", "K", "K", "Mg", "Bi"], "frac_coords": [[0.0000, 0.0000, 0.5000], [0.0000, 0.5000, 0.0000], [0.5000, 0.0000, 0.0000], [0.5000, 0.5000, 0.5000], [0.0000, 0.0000, 0.0000]], "de_polymorph_ev_per_atom": 0.1007, "mass_density_g_cm3": 1.78, "spacegroup": "Pm-3m", "e_form_mev_per_atom": 49.1}

***

(9)
{"formula": "K3Mg2Bi4", "functional": "GGA-PBE", "state": "optimized geometry", "lattice_angstrom": [[6.6307, -2.5171, 0.0000], [6.6307, 2.5171, 0.0000], [-1.2952, 0.0000, 9.5557]], "species": ["K", "K", "K", "Mg", "Mg", "Bi", "Bi", "Bi", "Bi"], "frac_coords": [[0.0000, 0.0000, 0.0000], [0.4051, 0.4051, 0.2863], [0.5949, 0.5949, 0.7137], [0.2820, 0.2820, 0.6119], [0.7180, 0.7180, 0.3881], [0.0956, 0.0956, 0.3939], [0.2934, 0.2934, 0.9236], [0.7066, 0.7066, 0.0764], [0.9044, 0.9044, 0.6061]], "mass_density_g_cm3": 5.22, "spacegroup": "C2/m", "e_form_mev_per_atom": -340.6}

***

(10)
{"formula": "KMgBi", "functional": "GGA-PBE", "state": "optimized geometry", "lattice_angstrom": [[4.9461, 0.0000, 0.0000], [-2.4731, 4.2835, 0.0000], [0.0000, 0.0000, 5.5321]], "species": ["K", "Mg", "Bi"], "frac_coords": [[0.0000, 0.0000, 0.0000], [0.3333, 0.6667, 0.5000], [0.6667, 0.3333, 0.5000]], "mass_density_g_cm3": 3.86, "spacegroup": "P-6m2", "e_form_mev_per_atom": -340.2}

***

(11)
{"formula": "KMgBi", "functional": "GGA-PBE", "state": "optimized geometry", "lattice_angstrom": [[0.0000, 5.8663, 7.0220], [5.0345, 0.0000, 7.0220], [5.0345, 5.8663, 0.0000]], "species": ["K", "K", "K", "K", "Mg", "Mg", "Mg", "Mg", "Bi", "Bi", "Bi", "Bi"], "frac_coords": [[0.0528, 0.6972, 0.6972], [0.3028, 0.9472, 0.9472], [0.6972, 0.0528, 0.0528], [0.9472, 0.3028, 0.3028], [0.2505, 0.2505, 0.4995], [0.4995, 0.4995, 0.2505], [0.5005, 0.5005, 0.7495], [0.7495, 0.7495, 0.5005], [0.1680, 0.5820, 0.1680], [0.4180, 0.8320, 0.4180], [0.5820, 0.1680, 0.5820], [0.8320, 0.4180, 0.8320]], "mass_density_g_cm3": 4.36, "spacegroup": "Fddd", "e_form_mev_per_atom": -342.8}

***

(12)
{"formula": "K2MgBi2", "functional": "GGA-PBE", "state": "optimized geometry", "lattice_angstrom": [[-3.9544, 7.6297, 3.4837], [3.9544, -7.6297, 3.4837], [3.9544, 7.6297, -3.4837]], "species": ["K", "K", "K", "K", "Mg", "Mg", "Bi", "Bi", "Bi", "Bi"], "frac_coords": [[0.1482, 0.1802, 0.3284], [0.3518, 0.6802, 0.0320], [0.6482, 0.3198, 0.9680], [0.8518, 0.8198, 0.6716], [0.2500, 0.7500, 0.5000], [0.7500, 0.2500, 0.5000], [0.1076, 0.7122, 0.8198], [0.3924, 0.2122, 0.6046], [0.6076, 0.7878, 0.3954], [0.8924, 0.2878, 0.1802]], "de_polymorph_ev_per_atom": 0.1118, "mass_density_g_cm3": 4.11, "spacegroup": "Ibam", "e_form_mev_per_atom": -200.3}

***

These records have D(E_F) values of 0.33; 0.50; 0.63; 0.67; 0.64; 0.70; 0.15; 0.00; 0.39; 0.19; 0.00; 0.93 states/eV per atom, in the order they appear.